# 1
Crystalline MgCdPd2 at its relaxed geometry, computed with PBE.

Lattice parameters (Å, degrees): 7.1831 7.1831 5.8318 51.99 51.99 90.00
Closest atoms and distances in Å follow each position.
Sites, in units of the cell vectors:
Cd: 0.7500 0.2500 0.5000  4 Pd 2.70, 2 Mg 2.87
Cd: 0.0000 0.0000 0.0000  4 Pd 2.70, 2 Mg 2.87
Mg: 0.2500 0.7500 0.5000  4 Pd 2.58, 2 Cd 2.87
Mg: 0.5000 0.5000 0.0000  4 Pd 2.58, 2 Cd 2.87
Pd: 0.6126 0.1250 0.2500  2 Mg 2.58, 2 Cd 2.70, 2 Pd 2.87
Pd: 0.1374 0.6250 0.2500  2 Mg 2.58, 2 Cd 2.70, 2 Pd 2.87
Pd: 0.3750 0.3874 0.7500  2 Mg 2.58, 2 Cd 2.70, 2 Pd 2.87
Pd: 0.8750 0.8626 0.7500  2 Mg 2.58, 2 Cd 2.70, 2 Pd 2.87

Results
energy of formation: -0.2298 eV per atom
space group: I-42d
magnetic moment: 0.00 μB per formula unit



# 2
Crystalline MgCdPd6 at its relaxed geometry, computed with PBE.

Lattice parameters (Å, degrees): 6.9444 7.5574 5.1296 42.56 47.58 57.14
Closest atoms and distances in Å follow each position.
Sites, in units of the cell vectors:
Pd: 0.5393 0.7497 0.6608  6 Pd 2.64-2.95, 1 Mg 2.73, 1 Cd 2.79
Pd: 0.9488 0.4601 0.8413  5 Pd 2.64-2.95, 1 Mg 2.74, 1 Cd 2.79
Pd: 0.2506 0.0492 0.2387  5 Pd 2.64-2.95, 1 Mg 2.74, 1 Cd 2.80
Pd: 0.4607 0.2503 0.3392  6 Pd 2.64-2.95, 1 Mg 2.73, 1 Cd 2.79
Pd: 0.7494 0.9508 0.7613  5 Pd 2.64-2.95, 1 Mg 2.74, 1 Cd 2.80
Pd: 0.0512 0.5399 0.1587  5 Pd 2.64-2.95, 1 Mg 2.74, 1 Cd 2.79
Cd: 0.0000 0.0000 0.0000  12 Pd 2.79-3.00
Mg: 0.5000 0.5000 0.5000  12 Pd 2.73-3.04

Results
offset from the most stable computed form: 0.72 eV per formula unit
energy of formation: -0.2622 eV per atom
space group: P-1
magnetic moment: 0.00 μB per formula unit



# 3
Crystalline Mg5Cd2Pd at its relaxed geometry, computed with PBE.

Lattice parameters (Å, degrees): 7.5041 7.5041 7.9309 118.24 118.24 90.00
Closest atoms and distances in Å follow each position.
Sites, in units of the cell vectors:
Mg: 0.6787 0.1787 0.6754  3 Mg 2.83-3.16, 3 Cd 2.87-2.95, 2 Pd 3.01
Mg: 0.8213 0.0034 0.3246  3 Mg 2.83-3.16, 3 Cd 2.87-2.95, 2 Pd 3.01
Mg: 0.4966 0.6787 0.6754  3 Mg 2.83-3.16, 3 Cd 2.87-2.95, 2 Pd 3.01
Mg: 0.0034 0.5034 0.3246  3 Mg 2.83-3.16, 3 Cd 2.87-2.95, 2 Pd 3.01
Mg: 0.3213 0.8213 0.3246  3 Mg 2.83-3.16, 3 Cd 2.87-2.95, 2 Pd 3.01
Mg: 0.5000 0.5000 0.0000  4 Cd 2.90, 2 Pd 2.95
Mg: 0.9966 0.4966 0.6754  3 Mg 2.83-3.16, 3 Cd 2.87-2.95, 2 Pd 3.01
Mg: 0.0000 0.0000 0.0000  4 Cd 2.90, 2 Pd 2.95
Mg: 0.1787 0.9966 0.6754  3 Mg 2.83-3.16, 3 Cd 2.87-2.95, 2 Pd 3.01
Mg: 0.5034 0.3213 0.3246  3 Mg 2.83-3.16, 3 Cd 2.87-2.95, 2 Pd 3.01
Pd: 0.2500 0.2500 0.5000  10 Mg 2.95-3.01
Pd: 0.7500 0.7500 0.5000  10 Mg 2.95-3.01
Cd: 0.8606 0.6394 0.0000  8 Mg 2.87-2.95, 1 Cd 2.96
Cd: 0.3606 0.8606 0.0000  8 Mg 2.87-2.95, 1 Cd 2.96
Cd: 0.6394 0.1394 0.0000  8 Mg 2.87-2.95, 1 Cd 2.96
Cd: 0.1394 0.3606 0.0000  8 Mg 2.87-2.95, 1 Cd 2.96

Results
offset from the most stable computed form: 0.55 eV per formula unit
energy of formation: -0.1619 eV per atom
space group: I4/mcm
magnetic moment: 0.00 μB per formula unit



# 4
Crystalline Mg12CdPd6 at its relaxed geometry, computed with PBE.

Lattice parameters (Å, degrees): 7.6900 7.6900 7.6900 107.80 107.80 107.80
Closest atoms and distances in Å follow each position.
Sites, in units of the cell vectors:
Mg: 0.6608 0.5811 0.9037  3 Pd 2.62-2.77
Mg: 0.6681 0.9816 0.1322  3 Pd 2.60-2.82
Mg: 0.9037 0.6608 0.5811  3 Pd 2.62-2.77
Mg: 0.4189 0.0963 0.3392  3 Pd 2.62-2.77
Mg: 0.0184 0.8678 0.3319  3 Pd 2.60-2.82
Mg: 0.5811 0.9037 0.6608  3 Pd 2.62-2.77
Mg: 0.3319 0.0184 0.8678  3 Pd 2.60-2.82
Mg: 0.9816 0.1322 0.6681  3 Pd 2.60-2.82
Mg: 0.3392 0.4189 0.0963  3 Pd 2.62-2.77
Mg: 0.1322 0.6681 0.9816  3 Pd 2.60-2.82
Mg: 0.0963 0.3392 0.4189  3 Pd 2.62-2.77
Mg: 0.8678 0.3319 0.0184  3 Pd 2.60-2.82
Pd: 0.6540 0.7724 0.3403  6 Mg 2.60-2.82
Pd: 0.6597 0.3460 0.2276  6 Mg 2.60-2.82
Pd: 0.3403 0.6540 0.7724  6 Mg 2.60-2.82
Pd: 0.7724 0.3403 0.6540  6 Mg 2.60-2.82
Pd: 0.2276 0.6597 0.3460  6 Mg 2.60-2.82
Pd: 0.3460 0.2276 0.6597  6 Mg 2.60-2.82
Cd: 0.0000 0.0000 0.0000  12 Mg 3.00-3.15

Results
energy of formation: -0.3544 eV per atom
space group: R-3
magnetic moment: 0.00 μB per formula unit



# 5
Crystalline Mg6Cd8Pd at its relaxed geometry, computed with PBE.

Lattice parameters (Å, degrees): 8.6127 7.7793 9.7452 56.63 66.18 35.17
Closest atoms and distances in Å follow each position.
Sites, in units of the cell vectors:
Cd: 0.9383 0.3263 0.6083  4 Mg 2.94-3.02, 4 Cd 3.02-3.08, 1 Pd 3.17
Cd: 0.7356 0.3446 0.3978  5 Mg 2.98-3.34, 6 Cd 3.00-3.23
Cd: 0.4017 0.9917 0.4003  5 Mg 3.02-3.36, 7 Cd 3.02-3.32
Cd: 0.3346 0.3249 0.0014  8 Mg 2.92-3.13, 3 Cd 3.20-3.23
Cd: 0.6654 0.6751 0.9986  8 Mg 2.92-3.13, 3 Cd 3.20-3.23
Cd: 0.0617 0.6737 0.3917  4 Mg 2.94-3.02, 4 Cd 3.02-3.08, 1 Pd 3.17
Cd: 0.2644 0.6554 0.6022  5 Mg 2.98-3.34, 6 Cd 3.00-3.23
Cd: 0.5983 0.0083 0.5997  5 Mg 3.02-3.36, 7 Cd 3.02-3.32
Mg: 0.8160 0.9978 0.8095  1 Pd 2.90, 7 Cd 2.93-3.22, 2 Mg 3.09-3.20
Mg: 0.8778 0.6788 0.1913  1 Pd 2.90, 7 Cd 2.92-3.13, 2 Mg 3.09-3.21
Mg: 0.4694 0.6541 0.8153  2 Pd 2.91-2.93, 3 Mg 2.99-3.21, 6 Cd 3.01-3.21
Mg: 0.5306 0.3459 0.1847  2 Pd 2.91-2.93, 3 Mg 2.99-3.21, 6 Cd 3.01-3.21
Mg: 0.1840 0.0022 0.1905  1 Pd 2.90, 7 Cd 2.93-3.22, 2 Mg 3.09-3.20
Mg: 0.1222 0.3212 0.8087  1 Pd 2.90, 7 Cd 2.92-3.13, 2 Mg 3.09-3.21
Pd: 0.0000 0.0000 0.0000  8 Mg 2.90-2.93, 2 Cd 3.17

Results
energy of formation: -0.1565 eV per atom
space group: P-1
magnetic moment: 0.00 μB per formula unit



# 6
Crystalline MgCd2Pd at its relaxed geometry, computed with PBE.

Lattice parameters (Å, degrees): 4.2200 4.2129 5.1615 114.36 114.13 90.00
Closest atoms and distances in Å follow each position.
Sites, in units of the cell vectors:
Cd: 0.9999 0.9999 0.9998  4 Cd 2.97-2.98, 4 Pd 2.97-2.98, 4 Mg 2.98
Cd: 0.2501 0.7503 0.5003  4 Mg 2.97-2.98, 4 Cd 2.97-2.98, 4 Pd 2.98
Mg: 0.5003 0.5007 0.0005  4 Pd 2.96-2.98, 8 Cd 2.97-2.98
Pd: 0.7497 0.2491 0.4994  4 Mg 2.96-2.98, 8 Cd 2.97-2.98

Results
energy of formation: -0.3334 eV per atom
space group: Cm
magnetic moment: 0.00 μB per formula unit